Density functional theory data (PBE) for a relaxed structure of KTl3Au.

Results
- D(E_F) (states/eV/cell) = 9.906
- space-group type = C2/c (15)
- crystal system = monoclinic
- formation energy (eV/atom) = -0.113
- raw total energy (eV/atom) = -2.41
- ΔE to the lowest computed polymorph (meV/atom) = 7

a = 10.1465 Å, b = 10.1465 Å, c = 6.9507 Å
α = 100.25°, β = 100.25°, γ = 62.33°
Last column: nearest neighbours and their distance in Å.
Positions (direct):
K: 0.0400 0.9600 0.7500  2 Au 3.36, 2 K 3.58, 4 Tl 3.72-3.76
K: 0.3642 0.6358 0.2500  6 Au 3.48-3.83, 4 Tl 3.79-3.82
K: 0.6358 0.3642 0.7500  6 Au 3.48-3.83, 4 Tl 3.79-3.82
K: 0.9600 0.0400 0.2500  2 Au 3.36, 2 K 3.58, 4 Tl 3.72-3.76
Tl: 0.0082 0.3462 0.6005  1 Au 3.03, 1 Tl 3.32
Tl: 0.0145 0.3356 0.0765  1 Au 2.98, 1 Tl 3.32
Tl: 0.3166 0.3219 0.4131  2 Au 3.00-3.01
Tl: 0.3219 0.3166 0.9131  2 Au 3.00-3.01
Tl: 0.3356 0.0145 0.5765  1 Au 2.98, 1 Tl 3.32
Tl: 0.3462 0.0082 0.1005  1 Au 3.03, 1 Tl 3.32
Tl: 0.6538 0.9918 0.8995  1 Au 3.03, 1 Tl 3.32
Tl: 0.6644 0.9855 0.4235  1 Au 2.98, 1 Tl 3.32
Tl: 0.6781 0.6834 0.0869  2 Au 3.00-3.01
Tl: 0.6834 0.6781 0.5869  2 Au 3.00-3.01
Tl: 0.9855 0.6644 0.9235  1 Au 2.98, 1 Tl 3.32
Tl: 0.9918 0.6538 0.3995  1 Au 3.03, 1 Tl 3.32
Au: 0.2512 0.5876 0.7202  1 Au 2.74, 4 Tl 2.98-3.03
Au: 0.4124 0.7488 0.7798  1 Au 2.74, 4 Tl 2.98-3.03
Au: 0.5876 0.2512 0.2202  1 Au 2.74, 4 Tl 2.98-3.03
Au: 0.7488 0.4124 0.2798  1 Au 2.74, 4 Tl 2.98-3.03